Compound: InSb2Pb
Source: Alexandria via LeMat-Bulk
Functional: PBE-GGA
Structure: relaxed

E_form (uncorrected): 0.25 eV per formula unit
Relative energy among the computed polymorphs: 12.3 meV per atom

Geometry as POSCAR:
```
InSb2Pb
1.0
-3.139 3.642 4.873
-5.538 0.561 -3.986
-6.861 -3.675 3.136
Pb Sb In
2 4 2
Cartesian
0.000 0.000 0.000
-7.169 1.035 4.227
-4.306 1.355 3.234
-5.632 -0.040 -1.000
-8.510 -1.169 2.605
-12.627 0.910 3.209
-4.338 2.102 0.444
-8.368 -0.506 -0.203
```

Compound: Te2AuNCl
Source: Alexandria via LeMat-Bulk
Functional: PBE-GGA
Structure: relaxed

E_form (uncorrected): 4.94 eV per formula unit
Relative energy among the computed polymorphs: 0.0 meV per atom

Geometry as POSCAR:
```
Te2AuNCl
1.0
5.853 0.000 0.000
0.000 5.853 0.000
0.000 0.000 3.725
N Te Au Cl
1 2 1 1
Cartesian
0.000 0.000 1.863
0.000 2.927 0.000
2.927 0.000 0.000
0.000 0.000 0.000
2.927 2.927 1.863
```

Compound: Re2SiPb
Source: Alexandria via LeMat-Bulk
Functional: PBE-GGA
Structure: relaxed

E_form (uncorrected): 2.46 eV per formula unit
Relative energy among the computed polymorphs: 266.2 meV per atom

Geometry as POSCAR:
```
Re2SiPb
1.0
-0.100 -2.936 2.553
-1.840 -1.554 -1.859
3.587 -3.257 -3.604
Pb Re Si
1 2 1
Cartesian
1.260 -5.076 -2.820
0.033 -0.295 -0.338
0.841 -2.110 -2.394
0.387 -2.671 -0.089
```

Compound: OsRu3Rh2
Source: Alexandria via LeMat-Bulk
Functional: PBE-GGA
Structure: relaxed

ΔH_f (0 K): 13 meV per atom

Geometry as POSCAR:
```
OsRu3Rh2
1.0
10.101 1.731 -0.085
2.215 4.586 0.641
-0.286 1.997 4.284
Os Ru Rh
2 6 4
Cartesian
2.202 3.660 2.812
9.829 4.654 2.028
7.259 4.539 2.766
8.293 2.640 1.124
3.247 1.775 1.149
8.785 6.539 3.691
3.738 5.674 3.717
4.772 3.774 2.074
0.765 1.001 0.466
5.821 1.867 0.421
11.266 7.312 4.374
6.210 6.447 4.419
```

Compound: K2Co3Se4
Source: Alexandria via LeMat-Bulk
Functional: PBE-GGA
Structure: relaxed

E_form (uncorrected): -4.96 eV per formula unit

Geometry as POSCAR:
```
K2Co3Se4
1.0
-2.357 -2.783 4.653
2.788 0.110 5.234
-8.128 10.271 5.782
K Co Se
4 6 8
Cartesian
-4.283 6.211 7.180
-2.237 2.778 6.163
-8.284 7.163 7.600
-2.202 0.325 2.835
-4.665 4.459 4.060
-0.975 -2.709 7.276
-7.902 8.915 10.720
0.000 0.000 0.000
-4.438 3.103 8.998
-5.821 3.029 6.375
-8.384 6.651 11.033
-5.863 8.567 9.633
-1.814 -0.945 5.995
-2.315 2.291 9.554
-6.540 3.940 8.400
0.665 0.922 4.678
-4.982 1.264 7.656
-3.916 4.917 10.381
```

Compound: Ce3O4F3
Source: Alexandria via LeMat-Bulk
Functional: PBE-GGA
Structure: relaxed

E_form (uncorrected): -36.05 eV per formula unit

Geometry as POSCAR:
```
Ce3O4F3
1.0
0.302 -4.320 -5.731
6.230 -0.307 3.562
-5.334 -2.121 4.319
Ce O F
6 8 6
Cartesian
2.710 -1.566 3.574
1.004 -1.962 -0.719
4.307 -3.499 0.614
0.158 -5.563 0.450
-0.922 -2.521 2.602
-3.662 -5.134 -0.074
-1.941 -0.772 1.572
-0.249 -3.332 0.590
0.314 -3.079 -2.573
-4.608 -1.832 3.731
3.376 -3.886 -3.170
2.867 -3.486 2.371
3.225 -1.726 -0.305
0.611 -2.132 4.233
0.195 -4.786 2.868
-1.512 -5.182 -1.425
1.041 -1.185 1.699
-3.108 -3.249 1.535
4.860 -1.614 2.224
2.121 -4.228 -0.453
```

Compound: YTa2Tc2
Source: Alexandria via LeMat-Bulk
Functional: PBE-GGA
Structure: relaxed

ΔH_f (0 K): 32 meV per atom
Relative energy among the computed polymorphs: 84.5 meV per atom

Geometry as POSCAR:
```
YTa2Tc2
1.0
7.790 0.000 0.000
0.000 7.790 0.000
0.000 0.000 3.122
Y Tc Ta
2 4 4
Cartesian
0.000 0.000 0.000
3.895 3.895 0.000
2.766 6.661 0.000
6.661 5.024 0.000
5.024 1.129 0.000
1.129 2.766 0.000
1.112 5.007 1.561
5.007 6.678 1.561
6.678 2.783 1.561
2.783 1.112 1.561
```

Compound: Cs2ErCd2Te4
Source: Alexandria via LeMat-Bulk
Functional: PBE-GGA
Structure: relaxed

E_form (uncorrected): -7.95 eV per formula unit

Geometry as POSCAR:
```
Cs2ErCd2Te4
1.0
4.522 0.000 0.000
0.000 9.279 0.134
-2.261 -3.518 8.193
Cs Er Cd Te
2 1 2 4
Cartesian
0.000 4.378 2.181
2.261 1.383 6.146
0.000 0.000 0.000
2.261 -1.289 3.071
0.000 7.049 5.256
0.000 0.603 3.027
2.261 5.157 5.299
2.261 7.139 0.448
0.000 -1.378 7.878
```

Record-wise uncorrected energy values, in eV/atom: -3.61, -2.96, -7.89, -8.95, -4.71, -7.93, -10.15, -3.18